Entry 1:
# KTa2Zn, optimized geometry, DFT PBE
# mass density	8.2	Mg/m³
# total magnetic moment	1.2	μB/cell
data_KTa2Zn
_chemical_formula_sum 'K2 Ta4 Zn2'
_space_group_name_H-M_alt 'P 1'
_space_group_IT_number 1
_space_group_name_Hall 'P 1'
_cell_length_a 2.9146
_cell_length_b 5.9521
_cell_length_c 10.9055
_cell_angle_alpha 90.00
_cell_angle_beta 90.00
_cell_angle_gamma 90.00
loop_
_atom_site_label
_atom_site_type_symbol
_atom_site_fract_x
_atom_site_fract_y
_atom_site_fract_z
K1 K 0.0000 0.0000 0.0000
K2 K 0.5000 0.5000 0.5000
Ta1 Ta 0.0000 0.0000 0.5041
Ta2 Ta 0.0000 0.5000 0.8030
Ta3 Ta 0.5000 0.0000 0.3030
Ta4 Ta 0.5000 0.5000 0.0041
Zn1 Zn 0.0000 0.5000 0.2265
Zn2 Zn 0.5000 0.0000 0.7265

Entry 2:
# KTaZn, optimized geometry, DFT PBE
# mass density	6.8	Mg/m³
# total magnetic moment	0.0	μB/cell
data_KTaZn
_chemical_formula_sum 'K2 Ta2 Zn2'
_space_group_name_H-M_alt 'P 1'
_space_group_IT_number 1
_space_group_name_Hall 'P 1'
_cell_length_a 3.0317
_cell_length_b 3.0317
_cell_length_c 15.1910
_cell_angle_alpha 90.00
_cell_angle_beta 90.00
_cell_angle_gamma 90.00
loop_
_atom_site_label
_atom_site_type_symbol
_atom_site_fract_x
_atom_site_fract_y
_atom_site_fract_z
K1 K 0.0000 0.0000 0.0000
K2 K 0.5000 0.5000 0.5000
Ta1 Ta 0.0000 0.0000 0.7043
Ta2 Ta 0.5000 0.5000 0.2043
Zn1 Zn 0.0000 0.0000 0.3142
Zn2 Zn 0.5000 0.5000 0.8142

Entry 3:
# KTa2Zn, optimized geometry, DFT PBE
# mass density	9.3	Mg/m³
# total magnetic moment	0.0	μB/cell
data_KTa2Zn
_chemical_formula_sum 'K3 Ta6 Zn3'
_space_group_name_H-M_alt 'P 1'
_space_group_IT_number 1
_space_group_name_Hall 'P 1'
_cell_length_a 2.9094
_cell_length_b 2.9094
_cell_length_c 34.0473
_cell_angle_alpha 90.00
_cell_angle_beta 90.00
_cell_angle_gamma 120.00
loop_
_atom_site_label
_atom_site_type_symbol
_atom_site_fract_x
_atom_site_fract_y
_atom_site_fract_z
K1 K 0.0000 0.0000 0.0000
K2 K 0.3333 0.6667 0.6667
K3 K 0.6667 0.3333 0.3333
Ta1 Ta 0.0000 0.0000 0.2366
Ta2 Ta 0.0000 0.0000 0.7634
Ta3 Ta 0.3333 0.6667 0.4301
Ta4 Ta 0.3333 0.6667 0.9032
Ta5 Ta 0.6667 0.3333 0.0968
Ta6 Ta 0.6667 0.3333 0.5699
Zn1 Zn 0.0000 0.0000 0.5000
Zn2 Zn 0.3333 0.6667 0.1667
Zn3 Zn 0.6667 0.3333 0.8333

Entry 4:
# KTa2Zn, optimized geometry, DFT PBE
# mass density	8.1	Mg/m³
# total magnetic moment	0.0	μB/cell
data_KTa2Zn
_chemical_formula_sum 'K1 Ta2 Zn1'
_space_group_name_H-M_alt 'P 1'
_space_group_IT_number 1
_space_group_name_Hall 'P 1'
_cell_length_a 2.9664
_cell_length_b 3.7246
_cell_length_c 8.6968
_cell_angle_alpha 90.00
_cell_angle_beta 90.00
_cell_angle_gamma 90.00
loop_
_atom_site_label
_atom_site_type_symbol
_atom_site_fract_x
_atom_site_fract_y
_atom_site_fract_z
K1 K 0.0000 0.0000 0.0000
Ta1 Ta 0.0000 0.0000 0.5358
Ta2 Ta 0.5000 0.5000 0.3599
Zn1 Zn 0.5000 0.5000 0.7028

Formation energy from the elements list, top to bottom, in meV/atom: 1077; 692; 747; 551